[1]
The following is a PBE calculation of a geometry-optimized RbAgHg2Bi structure, from Alexandria via LeMat-Bulk.

Cell lengths 5.570, 5.570, 5.723 Å; angles 90.00, 90.00, 90.00 degrees
Fractional positions:
Rb  0.000  0.000  0.000
Ag  0.500  0.500  0.500
Hg  0.000  0.500  0.500
Hg  0.500  0.000  0.500
Bi  0.500  0.500  0.000

Summary:
The total magnetization comes out at 0.073 μB per atom. The value obtained for the total energy is -8.3 eV per cell. The energy of formation comes out at 1.1 meV/atom. Its energy above the most stable polymorph in this dataset is 0 meV/atom. The density of states at the Fermi level comes out at 4.3 states/eV per cell.


[2]
The following is a PBE calculation of a geometry-optimized Hf3MgZr3 structure, from Alexandria via LeMat-Bulk.

Cell lengths 7.972, 7.972, 7.972 Å; angles 57.24, 57.24, 57.24 degrees
Fractional positions:
Hf  0.065  0.750  0.571
Hf  0.250  0.429  0.935
Hf  0.429  0.935  0.250
Hf  0.571  0.065  0.750
Hf  0.750  0.571  0.065
Hf  0.935  0.250  0.429
Mg  0.334  0.334  0.334
Mg  0.666  0.666  0.666
Zr  0.084  0.285  0.798
Zr  0.202  0.916  0.715
Zr  0.285  0.798  0.084
Zr  0.715  0.202  0.916
Zr  0.798  0.084  0.285
Zr  0.916  0.715  0.202

Summary:
The total magnetization comes out at 0.000 μB per atom. The value obtained for the total energy is -109.9 eV per cell. The energy of formation comes out at 304.7 meV/atom. The density of states at the Fermi level comes out at 12.4 states/eV per cell.


[3]
The following is a PBE calculation of a geometry-optimized CaCeZnIr structure, from Alexandria via LeMat-Bulk.

Cell lengths 7.034, 7.034, 7.034 Å; angles 90.00, 90.00, 90.00 degrees
Fractional positions:
Ca  0.000  0.000  0.000
Ca  0.000  0.500  0.500
Ca  0.500  0.000  0.500
Ca  0.500  0.500  0.000
Ce  0.000  0.000  0.500
Ce  0.000  0.500  0.000
Ce  0.500  0.000  0.000
Ce  0.500  0.500  0.500
Zn  0.250  0.250  0.250
Zn  0.250  0.750  0.750
Zn  0.750  0.250  0.750
Zn  0.750  0.750  0.250
Ir  0.250  0.250  0.750
Ir  0.250  0.750  0.250
Ir  0.750  0.250  0.250
Ir  0.750  0.750  0.750

Summary:
The total magnetization comes out at 0.036 μB per atom. The value obtained for the total energy is -78.3 eV per cell. The energy of formation comes out at -377.0 meV/atom. The density of states at the Fermi level comes out at 19.2 states/eV per cell.


Which of these has the lowest total magnetization? Hf3MgZr3


The lowest total magnetization belongs to which entry? Hf3MgZr3


Among the records above, which one has the lowest total magnetization? Hf3MgZr3


Among the records above, which one has the lowest total magnetization? Hf3MgZr3